[1]
Compound: CdPd5Pt
Source: the Alexandria database
Functional: PBE
Structure: relaxed

Cell lengths 5.078, 5.161, 9.252 Å; angles 90.00, 90.00, 90.00 degrees
Space group Imm2 (No. 44)
Asymmetric unit:
1 Cd 0.000 0.000 0.000 x2
2 Pd 0.000 0.245 0.635 x4
3 Pd 0.000 0.500 0.380 x2
4 Pd 0.246 0.000 0.355 x4
5 Pt 0.000 0.500 0.107 x2

Values from the calculation:
Volume = 242.5 Å³/cell
DFT total energy = -0.169 Ha/atom
Excess energy over the best structure of this formula in the dataset = 82 kJ/mol of formula units
N(E_F) = 1.33 states/eV per atom
Energy of formation from the pure elements = 0.1002 eV/atom

=====

[2]
Compound: Cd2Pd2Pt3
Source: the Alexandria database
Functional: PBE
Structure: relaxed

Cell lengths 9.157, 3.931, 8.023 Å; angles 90.00, 117.08, 90.00 degrees
Space group C2/m (No. 12)
Asymmetric unit:
1 Cd 0.205 0.000 0.276 x4
2 Pd 0.154 0.000 0.881 x4
3 Pt 0.000 0.500 0.000 x2
4 Pt 0.034 0.500 0.359 x4

Values from the calculation:
Volume = 257.1 Å³/cell
DFT total energy = -0.162 Ha/atom
Excess energy over the best structure of this formula in the dataset = 104 kJ/mol of formula units
N(E_F) = 0.99 states/eV per atom
Energy of formation from the pure elements = -0.0701 eV/atom

=====

[3]
Compound: CdPdPt3
Source: the Alexandria database
Functional: PBE
Structure: relaxed

Cell lengths 3.774, 3.774, 13.473 Å; angles 90.00, 90.00, 90.00 degrees
Space group I4mm (No. 107)
Asymmetric unit:
1 Cd 0.000 0.000 0.000 x2
2 Pd 0.000 0.000 0.335 x2
3 Pt 0.000 0.000 0.804 x2
4 Pt 0.000 0.500 0.159 x4

Values from the calculation:
Volume = 191.9 Å³/cell
DFT total energy = -0.174 Ha/atom
Excess energy over the best structure of this formula in the dataset = 135 kJ/mol of formula units
N(E_F) = 1.17 states/eV per atom
Energy of formation from the pure elements = 0.1062 eV/atom